1.
Computed, not measured: a geometry-optimized Mg2B2MoRu5 structure at the GGA-PBE level of DFT.

a = 2.9819 Å, b = 9.4700 Å, c = 9.4700 Å
α = 90.00°, β = 90.00°, γ = 90.00°
Element x y z (fractional)
Mg  0.0000  0.6774  0.1774
Mg  0.0000  0.3226  0.8226
Mg  0.0000  0.1774  0.3226
Mg  0.0000  0.8226  0.6774
B  0.0000  0.1214  0.6214
B  0.0000  0.8786  0.3786
B  0.0000  0.6214  0.8786
B  0.0000  0.3786  0.1214
Mo  0.0000  0.0000  0.0000
Mo  0.0000  0.5000  0.5000
Ru  0.5000  0.2165  0.0692
Ru  0.5000  0.7835  0.9308
Ru  0.5000  0.0692  0.7835
Ru  0.5000  0.7165  0.4308
Ru  0.5000  0.9308  0.2165
Ru  0.5000  0.2835  0.5692
Ru  0.5000  0.5692  0.7165
Ru  0.5000  0.4308  0.2835
Ru  0.5000  0.5000  0.0000
Ru  0.5000  0.0000  0.5000

## Properties
density	8.34	Mg/m³
space-group type	P4/mbm (127)
ΔE_f	-149	kJ/mol of formula units
Fermi-level density of states	8.90	states/eV/f.u.

=====

2.
Computed, not measured: a geometry-optimized SrMgBMo2 structure at the GGA-PBE level of DFT.

a = 4.9856 Å, b = 4.7176 Å, c = 4.9856 Å
α = 90.00°, β = 90.00°, γ = 90.00°
Last column: magnetic moment on the atom in μB.
Element x y z (fractional)
Sr  0.0000  0.0000  0.0000  -0.03
Mo  0.0000  0.0000  0.5000  1.25
Mo  0.5000  0.0000  0.0000  1.65
B  0.0000  0.5000  0.0000  -0.11
Mg  0.5000  0.5000  0.5000  -0.01

## Properties
density	4.46	Mg/m³
space-group type	P4/mmm (123)
ΔE_f	1376	kJ/mol of formula units
Fermi-level density of states	6.13	states/eV/f.u.

=====

3.
Computed, not measured: a geometry-optimized MgVB2Mo structure at the GGA-PBE level of DFT.

a = 4.2762 Å, b = 4.4634 Å, c = 4.2762 Å
α = 90.00°, β = 90.00°, γ = 90.00°
Element x y z (fractional)
Mo  0.0000  0.0000  0.0000
B  0.0000  0.0000  0.5000
B  0.5000  0.0000  0.0000
Mg  0.5000  0.5000  0.5000
V  0.0000  0.5000  0.0000

## Properties
density	3.92	Mg/m³
space-group type	P4/mmm (123)
ΔE_f	600	kJ/mol of formula units
Fermi-level density of states	4.51	states/eV/f.u.

=====

4.
Computed, not measured: a geometry-optimized Mg2B2N3 structure at the GGA-PBE level of DFT.

a = 2.7291 Å, b = 4.3863 Å, c = 5.0722 Å
α = 102.44°, β = 105.61°, γ = 90.00°
Element x y z (fractional)
Mg  0.6588  0.7176  0.3177
Mg  0.3412  0.2824  0.6823
B  0.9239  0.7686  0.8477
B  0.0761  0.2314  0.1523
N  0.0000  0.5000  0.0000
N  0.3450  0.7995  0.6900
N  0.6550  0.2005  0.3100

## Properties
density	3.27	Mg/m³
space-group type	C2/m (12)
formation energy from raw total energies	-0.66	eV/atom
Fermi-level density of states	1.18	states/eV/f.u.

=====

5.
Computed, not measured: a geometry-optimized Mg3BN3 structure at the GGA-PBE level of DFT.

a = 4.2733 Å, b = 5.8673 Å, c = 5.8673 Å
α = 101.66°, β = 90.00°, γ = 90.00°
Element x y z (fractional)
Mg  0.2500  0.6072  0.8345
Mg  0.2500  0.1655  0.3928
Mg  0.2500  0.1024  0.8976
Mg  0.7500  0.3928  0.1655
Mg  0.7500  0.8345  0.6072
Mg  0.7500  0.8976  0.1024
B  0.7500  0.2946  0.7054
B  0.2500  0.7054  0.2946
N  0.7500  0.5490  0.8110
N  0.7500  0.1890  0.4510
N  0.7500  0.1265  0.8735
N  0.2500  0.4510  0.1890
N  0.2500  0.8110  0.5490
N  0.2500  0.8735  0.1265

## Properties
density	2.90	Mg/m³
space-group type	Cmcm (63)
formation energy from raw total energies	-0.78	eV/atom

=====

6.
Computed, not measured: a geometry-optimized Mg3BN structure at the GGA-PBE level of DFT.

a = 4.1264 Å, b = 4.1264 Å, c = 4.1264 Å
α = 90.00°, β = 90.00°, γ = 90.00°
Element x y z (fractional)
Mg  0.0000  0.5000  0.0000
Mg  0.0000  0.0000  0.5000
Mg  0.5000  0.0000  0.0000
B  0.5000  0.5000  0.5000
N  0.0000  0.0000  0.0000

## Properties
density	2.31	Mg/m³
space-group type	Pm-3m (221)
formation energy from raw total energies	0.09	eV/atom
Fermi-level density of states	1.95	states/eV/f.u.